Entry from OQMD via LeMat-Bulk: an optimized crystal structure of Ba2SbAsPd2 (PBE-GGA).

It has space group P-6m2 (No. 187), with a = 4.5127 Å, b = 4.5127 Å, c = 9.6285 Å, α = 90.00°, β = 90.00° and γ = 120.00°. Symmetry generates all atoms from Ba at (0.0000, 0.0000, 0.2358), Sb at (0.3333, 0.6667, 0.5000), As at (0.6667, 0.3333, 0.0000), Pd at (0.3333, 0.6667, 0.0000) and Pd at (0.6667, 0.3333, 0.5000).

For the energy, the calculation gives -4.74 eV per atom.